(1)
Here is a geometry-optimized Th3Tl4Se8 structure from the Alexandria database. Energies are from GGA-PBE. Values from VASP.

Quantum ESPRESSO input file:
```
&SYSTEM
  ibrav = 0, nat = 15, ntyp = 3
/
ATOMIC_SPECIES
Se 78.96 Se.upf
Tl 204.38 Tl.upf
Th 232.04 Th.upf
CELL_PARAMETERS angstrom
7.748 0.000 4.179
2.747 7.245 4.179
-0.182 -0.126 9.611
ATOMIC_POSITIONS angstrom
Se 6.743 1.738 11.100
Se 4.016 5.689 11.100
Se 2.347 1.620 4.921
Se 6.298 1.430 6.868
Se 7.967 5.499 13.047
Se 3.570 5.382 6.868
Se 7.796 5.382 9.148
Se 2.517 1.738 8.821
Tl 0.000 0.000 0.000
Tl 5.157 3.560 8.984
Tl 6.672 4.606 6.174
Tl 3.641 2.514 11.794
Th -0.091 -0.063 4.805
Th 3.783 -0.063 6.895
Th 1.283 3.560 6.895
```

Summary:
Its raw formation energy is -17.88 eV/f.u. The calculation puts the total energy at -77.5 eV for the cell shown.


(2)
Here is a geometry-optimized IrRhAuI structure from the Alexandria database. Energies are from GGA-PBE. Values from VASP.

Quantum ESPRESSO input file:
```
&SYSTEM
  ibrav = 0, nat = 8, ntyp = 4
/
ATOMIC_SPECIES
I 126.90 I.upf
Ir 192.22 Ir.upf
Rh 102.91 Rh.upf
Au 196.97 Au.upf
CELL_PARAMETERS angstrom
-2.505 3.351 -2.836
-2.194 -1.855 -0.254
-4.416 4.039 8.674
ATOMIC_POSITIONS angstrom
I -1.694 1.549 3.328
I -6.252 4.317 6.120
Ir -0.610 0.558 1.198
Ir -5.168 3.326 3.990
Rh -3.133 3.396 2.276
Rh -5.186 2.812 7.904
Au -3.124 1.457 -0.023
Au -2.983 2.728 5.859
```

Summary:
The density of states at the Fermi level comes out at 8.09 states/eV/cell. Its raw formation energy is 2.46 eV/f.u. The calculation puts the total energy at -37.2 eV for the cell shown.


(3)
Here is a geometry-optimized CeLuPd structure from the Alexandria database. Energies are from GGA-PBE. Values from VASP.

Quantum ESPRESSO input file:
```
&SYSTEM
  ibrav = 0, nat = 3, ntyp = 3
/
ATOMIC_SPECIES
Lu 174.97 Lu.upf
Pd 106.42 Pd.upf
Ce 140.12 Ce.upf
CELL_PARAMETERS angstrom
3.481 0.000 0.000
0.000 3.481 0.000
-1.740 -1.740 6.163
ATOMIC_POSITIONS angstrom
Lu 0.000 0.000 3.731
Pd 1.740 1.740 2.191
Ce 0.000 0.000 0.241
```

Summary:
The density of states at the Fermi level comes out at 6.00 states/eV/cell. The energy relative to the elements comes out at -470.7 meV per atom. The calculation puts the total energy at -17.1 eV for the cell shown.


(4)
Here is a geometry-optimized AsRu4Se structure from the Alexandria database. Energies are from GGA-PBE. Values from VASP.

Quantum ESPRESSO input file:
```
&SYSTEM
  ibrav = 0, nat = 6, ntyp = 3
/
ATOMIC_SPECIES
As 74.92 As.upf
Se 78.96 Se.upf
Ru 101.07 Ru.upf
CELL_PARAMETERS angstrom
0.000 3.658 3.658
3.658 0.000 3.658
3.658 3.658 0.000
ATOMIC_POSITIONS angstrom
As 0.000 0.000 0.000
Se 5.488 5.488 5.488
Ru 4.573 4.573 2.744
Ru 2.744 4.573 4.573
Ru 4.573 2.744 4.573
Ru 2.744 2.744 2.744
```

Summary:
The density of states at the Fermi level comes out at 10.52 states/eV/cell. Its raw formation energy is 4.91 eV/f.u. The calculation puts the total energy at -40.3 eV for the cell shown.


(5)
Here is a geometry-optimized Be2SbAs structure from the Alexandria database. Energies are from GGA-PBE. Values from VASP.

Quantum ESPRESSO input file:
```
&SYSTEM
  ibrav = 0, nat = 4, ntyp = 3
/
ATOMIC_SPECIES
Be 9.01 Be.upf
Sb 121.76 Sb.upf
As 74.92 As.upf
CELL_PARAMETERS angstrom
-2.578 -0.378 3.767
1.960 -0.941 4.032
0.209 3.220 3.252
ATOMIC_POSITIONS angstrom
Be 0.000 0.000 0.000
Be -0.307 1.426 8.288
Sb -0.102 0.475 2.763
As -0.205 0.950 5.525
```

Summary:
The density of states at the Fermi level comes out at 1.94 states/eV/cell. Its raw formation energy is 3.36 eV/f.u. The calculation puts the total energy at -12.9 eV for the cell shown.


(6)
Here is a geometry-optimized ScAlTe2 structure from the Alexandria database. Energies are from GGA-PBE. Values from VASP.

Quantum ESPRESSO input file:
```
&SYSTEM
  ibrav = 0, nat = 4, ntyp = 3
/
ATOMIC_SPECIES
Te 127.60 Te.upf
Sc 44.96 Sc.upf
Al 26.98 Al.upf
CELL_PARAMETERS angstrom
5.145 0.006 0.000
-0.010 5.145 0.000
0.367 0.369 3.655
ATOMIC_POSITIONS angstrom
Te 2.567 2.575 0.000
Te 0.000 0.000 0.000
Sc 0.179 2.757 1.827
Al 2.756 0.187 1.827
```

Summary:
The density of states at the Fermi level comes out at 1.87 states/eV/cell. Its raw formation energy is -1.58 eV/f.u. The calculation puts the total energy at -17.9 eV for the cell shown.


(7)
Here is a geometry-optimized Nd2InSi2Rh5 structure from the Alexandria database. Energies are from GGA-PBE. Values from VASP.

Quantum ESPRESSO input file:
```
&SYSTEM
  ibrav = 0, nat = 20, ntyp = 4
/
ATOMIC_SPECIES
In 114.82 In.upf
Si 28.09 Si.upf
Rh 102.91 Rh.upf
Nd 144.24 Nd.upf
CELL_PARAMETERS angstrom
3.533 0.000 0.000
0.000 10.012 0.000
0.000 0.000 10.012
ATOMIC_POSITIONS angstrom
In 0.000 5.006 5.006
In 0.000 0.000 0.000
Si 0.000 3.798 1.208
Si 0.000 8.804 3.798
Si 0.000 1.208 6.214
Si 0.000 6.214 8.804
Rh 1.766 5.692 7.219
Rh 1.766 0.000 5.006
Rh 1.766 0.686 7.800
Rh 1.766 5.006 0.000
Rh 1.766 2.793 5.692
Rh 1.766 4.320 2.793
Rh 1.766 9.326 2.213
Rh 1.766 2.213 0.686
Rh 1.766 7.800 9.326
Rh 1.766 7.219 4.320
Nd 0.000 3.236 8.242
Nd 0.000 6.777 1.770
Nd 0.000 1.770 3.236
Nd 0.000 8.242 6.777
```

Summary:
The density of states at the Fermi level comes out at 6.68 states/eV/cell. Its raw formation energy is -8.63 eV/f.u. The calculation puts the total energy at -137.0 eV for the cell shown.


(8)
Here is a geometry-optimized BaGa2Te3 structure from the Alexandria database. Energies are from GGA-PBE. Values from VASP.

Quantum ESPRESSO input file:
```
&SYSTEM
  ibrav = 0, nat = 12, ntyp = 3
/
ATOMIC_SPECIES
Ba 137.33 Ba.upf
Ga 69.72 Ga.upf
Te 127.60 Te.upf
CELL_PARAMETERS angstrom
4.446 0.000 0.000
0.000 10.071 -1.391
-2.223 -4.031 11.984
ATOMIC_POSITIONS angstrom
Ba 2.223 8.603 2.432
Ba 0.000 -2.563 8.161
Ga 2.223 5.054 9.150
Ga 0.000 0.986 1.443
Ga 0.000 3.986 4.879
Ga 2.223 2.054 5.714
Te 2.223 2.027 2.621
Te 2.223 5.968 4.659
Te 0.000 4.014 7.972
Te 0.000 0.072 5.934
Te 2.223 -2.345 10.826
Te 0.000 8.385 -0.233
```

Summary:
The density of states at the Fermi level comes out at 0.90 states/eV/cell. Its raw formation energy is -4.03 eV/f.u. The calculation puts the total energy at -42.9 eV for the cell shown.